(1)
ZrTe2Os at its PBEsol-relaxed geometry. Source: Alexandria via LeMat-Bulk, functional meta-GGA SCAN.

Values from the calculation:
formation energy without anion corrections = 426 meV per atom
crystal system = trigonal
ΔE to the lowest computed polymorph = 0.81 eV per formula unit

```
data_ZrTe2Os
_chemical_formula_sum 'Zr3 Te6 Os3'
_symmetry_space_group_name_H-M 'R -3 m'
_symmetry_Int_Tables_number 166
_symmetry_space_group_name_Hall '-R 3 2"'
_cell_length_a 3.3837
_cell_length_b 3.3837
_cell_length_c 27.9363
_cell_angle_alpha 90.00
_cell_angle_beta 90.00
_cell_angle_gamma 120.00
loop_
_atom_site_label
_atom_site_fract_x
_atom_site_fract_y
_atom_site_fract_z
_atom_site_occupancy
Zr1 0.0000 0.0000 0.0000 1
Te1 0.0000 0.0000 0.1018 1
Os1 0.0000 0.0000 0.5000 1
```

(2)
MgTiTeAu2 at its PBEsol-relaxed geometry. Source: Alexandria via LeMat-Bulk, functional meta-GGA SCAN.

Values from the calculation:
formation energy without anion corrections = 106 meV per atom
crystal system = tetragonal

```
data_MgTiTeAu2
_chemical_formula_sum 'Mg1 Ti1 Te1 Au2'
_symmetry_space_group_name_H-M 'P 4/m m m'
_symmetry_Int_Tables_number 123
_symmetry_space_group_name_Hall '-P 4 2'
_cell_length_a 4.988
_cell_length_b 4.988
_cell_length_c 5.100
_cell_angle_alpha 90.00
_cell_angle_beta 90.00
_cell_angle_gamma 90.00
loop_
_atom_site_label
_atom_site_fract_x
_atom_site_fract_y
_atom_site_fract_z
_atom_site_occupancy
Mg1 0.000 0.000 0.000 1
Ti1 0.500 0.500 0.500 1
Te1 0.500 0.500 0.000 1
Au1 0.000 0.500 0.500 1
```

(3)
KTaAs2 at its PBEsol-relaxed geometry. Source: Alexandria via LeMat-Bulk, functional meta-GGA SCAN.

Values from the calculation:
crystal system = orthorhombic
ΔE to the lowest computed polymorph = 1.82 eV per formula unit
energy relative to the elements = 0.138 eV per atom

```
data_KTaAs2
_chemical_formula_sum 'K2 Ta2 As4'
_symmetry_space_group_name_H-M 'I m m m'
_symmetry_Int_Tables_number 71
_symmetry_space_group_name_Hall '-I 2 2'
_cell_length_a 3.344
_cell_length_b 6.572
_cell_length_c 9.359
_cell_angle_alpha 90.00
_cell_angle_beta 90.00
_cell_angle_gamma 90.00
loop_
_atom_site_label
_atom_site_fract_x
_atom_site_fract_y
_atom_site_fract_z
_atom_site_occupancy
K1 0.000 0.000 0.000 1
Ta1 0.000 0.000 0.500 1
As1 0.000 0.500 0.202 1
```

(4)
MnCuI3 at its PBEsol-relaxed geometry. Source: Alexandria via LeMat-Bulk, functional meta-GGA SCAN.

Values from the calculation:
formation energy without anion corrections = 183 meV per atom
crystal system = cubic

```
data_MnCuI3
_chemical_formula_sum 'Mn1 Cu1 I3'
_symmetry_space_group_name_H-M 'P m -3 m'
_symmetry_Int_Tables_number 221
_symmetry_space_group_name_Hall '-P 4 2 3'
_cell_length_a 5.296
_cell_length_b 5.296
_cell_length_c 5.296
_cell_angle_alpha 90.00
_cell_angle_beta 90.00
_cell_angle_gamma 90.00
loop_
_atom_site_label
_atom_site_fract_x
_atom_site_fract_y
_atom_site_fract_z
_atom_site_occupancy
Mn1 0.000 0.000 0.000 1
Cu1 0.500 0.500 0.500 1
I1 0.000 0.500 0.500 1
```

(5)
ZnCuS2 at its PBEsol-relaxed geometry. Source: Alexandria via LeMat-Bulk, functional meta-GGA SCAN.

Values from the calculation:
formation energy without anion corrections = -544 meV per atom
crystal system = tetragonal

```
data_ZnCuS2
_chemical_formula_sum 'Zn4 Cu4 S8'
_symmetry_space_group_name_H-M 'I -4 2 d'
_symmetry_Int_Tables_number 122
_symmetry_space_group_name_Hall 'I -4 2bw'
_cell_length_a 5.234
_cell_length_b 5.234
_cell_length_c 10.501
_cell_angle_alpha 90.00
_cell_angle_beta 90.00
_cell_angle_gamma 90.00
loop_
_atom_site_label
_atom_site_fract_x
_atom_site_fract_y
_atom_site_fract_z
_atom_site_occupancy
Zn1 0.000 0.000 0.000 1
Cu1 0.000 0.000 0.500 1
S1 0.238 0.250 0.625 1
```

(6)
KTl2Os at its PBEsol-relaxed geometry. Source: Alexandria via LeMat-Bulk, functional meta-GGA SCAN.

Values from the calculation:
crystal system = tetragonal
ΔE to the lowest computed polymorph = 0.28 eV per formula unit
energy relative to the elements = 0.579 eV per atom

```
data_KTl2Os
_chemical_formula_sum 'K1 Tl2 Os1'
_symmetry_space_group_name_H-M 'P 4/m m m'
_symmetry_Int_Tables_number 123
_symmetry_space_group_name_Hall '-P 4 2'
_cell_length_a 3.164
_cell_length_b 3.164
_cell_length_c 9.138
_cell_angle_alpha 90.00
_cell_angle_beta 90.00
_cell_angle_gamma 90.00
loop_
_atom_site_label
_atom_site_fract_x
_atom_site_fract_y
_atom_site_fract_z
_atom_site_occupancy
K1 0.000 0.000 0.000 1
Tl1 0.500 0.500 0.298 1
Os1 0.000 0.000 0.500 1
```

(7)
CdSb3S at its PBEsol-relaxed geometry. Source: Alexandria via LeMat-Bulk, functional meta-GGA SCAN.

Values from the calculation:
formation energy without anion corrections = 623 meV per atom
crystal system = cubic

```
data_CdSb3S
_chemical_formula_sum 'Cd1 Sb3 S1'
_symmetry_space_group_name_H-M 'P m -3 m'
_symmetry_Int_Tables_number 221
_symmetry_space_group_name_Hall '-P 4 2 3'
_cell_length_a 5.155
_cell_length_b 5.155
_cell_length_c 5.155
_cell_angle_alpha 90.00
_cell_angle_beta 90.00
_cell_angle_gamma 90.00
loop_
_atom_site_label
_atom_site_fract_x
_atom_site_fract_y
_atom_site_fract_z
_atom_site_occupancy
Cd1 0.000 0.000 0.000 1
Sb1 0.000 0.500 0.500 1
S1 0.500 0.500 0.500 1
```

(8)
La2Cu3Ni at its PBEsol-relaxed geometry. Source: Alexandria via LeMat-Bulk, functional meta-GGA SCAN.

Values from the calculation:
crystal system = orthorhombic
energy relative to the elements = -0.231 eV per atom

```
data_La2Cu3Ni
_chemical_formula_sum 'La2 Cu3 Ni1'
_symmetry_space_group_name_H-M 'P m m 2'
_symmetry_Int_Tables_number 25
_symmetry_space_group_name_Hall 'P 2 -2'
_cell_length_a 3.777
_cell_length_b 4.203
_cell_length_c 7.311
_cell_angle_alpha 90.00
_cell_angle_beta 90.00
_cell_angle_gamma 90.00
loop_
_atom_site_label
_atom_site_fract_x
_atom_site_fract_y
_atom_site_fract_z
_atom_site_occupancy
La1 0.000 0.000 0.000 1
La2 0.000 0.500 0.480 1
Cu1 0.500 0.000 0.654 1
Cu2 0.500 0.500 0.156 1
Cu3 0.500 0.500 0.823 1
Ni1 0.500 0.000 0.322 1
```

(9)
YRhS2N at its PBEsol-relaxed geometry. Source: Alexandria via LeMat-Bulk, functional meta-GGA SCAN.

Values from the calculation:
formation energy without anion corrections = -707 meV per atom
crystal system = tetragonal

```
data_YRhS2N
_chemical_formula_sum 'Y1 Rh1 S2 N1'
_symmetry_space_group_name_H-M 'P 4/m m m'
_symmetry_Int_Tables_number 123
_symmetry_space_group_name_Hall '-P 4 2'
_cell_length_a 4.778
_cell_length_b 4.778
_cell_length_c 3.657
_cell_angle_alpha 90.00
_cell_angle_beta 90.00
_cell_angle_gamma 90.00
loop_
_atom_site_label
_atom_site_fract_x
_atom_site_fract_y
_atom_site_fract_z
_atom_site_occupancy
Y1 0.000 0.000 0.000 1
Rh1 0.500 0.500 0.500 1
S1 0.000 0.500 0.500 1
N1 0.500 0.500 0.000 1
```

(10)
Tl2V3O8 at its PBEsol-relaxed geometry. Source: Alexandria via LeMat-Bulk, functional meta-GGA SCAN.

Values from the calculation:
formation energy without anion corrections = -2237 meV per atom
crystal system = tetragonal

```
data_Tl2V3O8
_chemical_formula_sum 'Tl4 V6 O16'
_symmetry_space_group_name_H-M 'P 4 b m'
_symmetry_Int_Tables_number 100
_symmetry_space_group_name_Hall 'P 4 -2ab'
_cell_length_a 8.861
_cell_length_b 8.861
_cell_length_c 5.419
_cell_angle_alpha 90.00
_cell_angle_beta 90.00
_cell_angle_gamma 90.00
loop_
_atom_site_label
_atom_site_fract_x
_atom_site_fract_y
_atom_site_fract_z
_atom_site_occupancy
Tl1 0.170 0.330 0.000 1
V1 0.000 0.000 0.552 1
V2 0.136 0.636 0.531 1
O1 0.000 0.000 0.256 1
O2 0.000 0.500 0.641 1
O3 0.086 0.810 0.650 1
O4 0.137 0.637 0.228 1
```

(11)
Cs3ZnI5 at its PBEsol-relaxed geometry. Source: Alexandria via LeMat-Bulk, functional meta-GGA SCAN.

Values from the calculation:
formation energy without anion corrections = -1398 meV per atom
crystal system = orthorhombic

```
data_Cs3ZnI5
_chemical_formula_sum 'Cs12 Zn4 I20'
_symmetry_space_group_name_H-M 'P n m a'
_symmetry_Int_Tables_number 62
_symmetry_space_group_name_Hall '-P 2ac 2n'
_cell_length_a 9.827
_cell_length_b 11.512
_cell_length_c 14.520
_cell_angle_alpha 90.00
_cell_angle_beta 90.00
_cell_angle_gamma 90.00
loop_
_atom_site_label
_atom_site_fract_x
_atom_site_fract_y
_atom_site_fract_z
_atom_site_occupancy
Cs1 0.081 0.013 0.172 1
Cs2 0.083 0.250 0.451 1
Zn1 0.186 0.250 0.894 1
I1 0.037 0.750 0.008 1
I2 0.134 0.250 0.718 1
I3 0.172 0.750 0.739 1
I4 0.189 0.559 0.437 1
```

(12)
Sb2P2Au at its PBEsol-relaxed geometry. Source: Alexandria via LeMat-Bulk, functional meta-GGA SCAN.

Values from the calculation:
formation energy without anion corrections = 439 meV per atom
crystal system = tetragonal

```
data_Sb2P2Au
_chemical_formula_sum 'Sb4 P4 Au2'
_symmetry_space_group_name_H-M 'P 4/m b m'
_symmetry_Int_Tables_number 127
_symmetry_space_group_name_Hall '-P 4 2ab'
_cell_length_a 7.453
_cell_length_b 7.453
_cell_length_c 3.706
_cell_angle_alpha 90.00
_cell_angle_beta 90.00
_cell_angle_gamma 90.00
loop_
_atom_site_label
_atom_site_fract_x
_atom_site_fract_y
_atom_site_fract_z
_atom_site_occupancy
Sb1 0.157 0.343 0.000 1
P1 0.172 0.672 0.500 1
Au1 0.000 0.000 0.500 1
```

no.,theoretical density (Mg/m³)
1,9.7
2,7.8
3,6.0
4,5.6
5,4.5
6,11.6
7,6.2
8,7.5
9,5.4
10,5.4
11,4.4
12,8.1